Below is a relaxed CeGePt6 crystal, with properties calculated at the PBE level.

Cell: 4.0912 4.0912 8.0987 Å, 90.00 90.00 90.00°
Space group P4/mmm (No. 123)
One atom of each set of equivalent atoms:
Ce 0.0000 0.0000 0.0000 [1 per cell]
Ge 0.0000 0.0000 0.5000 [1 per cell]
Pt 0.0000 0.5000 0.2606 [4 per cell]
Pt 0.5000 0.5000 0.0000 [1 per cell]
Pt 0.5000 0.5000 0.5000 [1 per cell]

ΔE to the lowest computed polymorph in meV per atom: 0
Total energy in eV/atom: -6.431
Energy of formation in eV/atom: -0.582
Theoretical density in Mg/m³: 16.9